[1]
Compound: AsP2
Source: the Alexandria database
Functional: PBEsol
Structure: optimized geometry

Structure (extended XYZ):
```
6
Lattice="3.211 0.000 0.000 0.000 3.211 0.000 -1.606 -1.606 9.487" Properties=species:S:1:pos:R:3 pbc="T T T"
As 0.000 1.606 4.743
As 0.000 0.000 0.000
P 1.606 0.000 6.328
P 0.000 0.000 7.902
P 1.606 0.000 3.159
P 1.606 1.606 1.584
```

Values from the calculation:
V (Å³/atom): 16.3
Formation energy from the elements (eV per atom): 0.375
Crystal system: tetragonal
Electronic total energy (Ry/atom): -0.381
Fermi-level density of states (states/eV/f.u.): 1.42

[2]
Compound: TlPb2Se
Source: the Alexandria database
Functional: PBEsol
Structure: optimized geometry

Structure (extended XYZ):
```
4
Lattice="4.104 0.000 0.000 0.000 4.104 0.000 0.000 0.000 6.868" Properties=species:S:1:pos:R:3 pbc="T T T"
Pb 0.000 0.000 0.028
Pb 2.052 2.052 2.047
Se 0.000 0.000 2.984
Tl 2.052 2.052 5.242
```

Values from the calculation:
Uncorrected formation energy (meV per atom): -133
V (Å³/atom): 28.9
Crystal system: tetragonal
Polymorph energy (0 for the lowest one) (eV per formula unit): 0.039
Electronic total energy (Ry/atom): -0.276
Fermi-level density of states (states/eV/f.u.): 1.27

[3]
Compound: FeSN2O
Source: the Alexandria database
Functional: PBEsol
Structure: optimized geometry

Structure (extended XYZ):
```
5
Lattice="3.441 0.000 0.000 0.000 3.720 0.000 0.000 0.000 3.720" Properties=species:S:1:pos:R:3 pbc="T T T"
S 1.720 1.860 1.860
Fe 0.000 0.000 0.000
O 1.720 0.000 0.000
N 0.000 0.000 1.860
N 0.000 1.860 0.000
```

Values from the calculation:
Uncorrected formation energy (meV per atom): 912
V (Å³/atom): 9.5
Crystal system: tetragonal
Electronic total energy (Ry/atom): -0.457
Fermi-level density of states (states/eV/f.u.): 3.15

Q: What is the formula in the third record?
A: FeSN2O

What did the first record say?
Compound: AsP2
Source: the Alexandria database
Functional: PBEsol
Structure: optimized geometry

Structure (extended XYZ):
```
6
Lattice="3.211 0.000 0.000 0.000 3.211 0.000 -1.606 -1.606 9.487" Properties=species:S:1:pos:R:3 pbc="T T T"
As 0.000 1.606 4.743
As 0.000 0.000 0.000
P 1.606 0.000 6.328
P 0.000 0.000 7.902
P 1.606 0.000 3.159
P 1.606 1.606 1.584
```

Values from the calculation:
V (Å³/atom): 16.3
Formation energy from the elements (eV per atom): 0.375
Crystal system: tetragonal
Electronic total energy (Ry/atom): -0.381
Fermi-level density of states (states/eV/f.u.): 1.42

Q: Number 3 is which compound?
A: FeSN2O

Please write out number 2 again, unchanged.
Compound: TlPb2Se
Source: the Alexandria database
Functional: PBEsol
Structure: optimized geometry

Structure (extended XYZ):
```
4
Lattice="4.104 0.000 0.000 0.000 4.104 0.000 0.000 0.000 6.868" Properties=species:S:1:pos:R:3 pbc="T T T"
Pb 0.000 0.000 0.028
Pb 2.052 2.052 2.047
Se 0.000 0.000 2.984
Tl 2.052 2.052 5.242
```

Values from the calculation:
Uncorrected formation energy (meV per atom): -133
V (Å³/atom): 28.9
Crystal system: tetragonal
Polymorph energy (0 for the lowest one) (eV per formula unit): 0.039
Electronic total energy (Ry/atom): -0.276
Fermi-level density of states (states/eV/f.u.): 1.27